NaUP | PBE-GGA | relaxed

Calculated values
total moment: 0.0 Bohr magnetons per cell
Fermi-level density of states: 0.853 states/eV per atom
energy of formation from the pure elements: -0.3283 eV/atom

The structure in CIF format:
```
data_NaUP
_cell_length_a 3.9106
_cell_length_b 3.9106
_cell_length_c 34.0936
_cell_angle_alpha 90.00
_cell_angle_beta 90.00
_cell_angle_gamma 120.00
_space_group_name_H-M_alt 'R -3 m'
_space_group_IT_number 166
_space_group_name_Hall '-R 3 2"'
loop_
_atom_site_label
_atom_site_fract_x
_atom_site_fract_y
_atom_site_fract_z
_atom_site_occupancy
Na1 0.0000 0.0000 0.1177 1
U1 0.0000 0.0000 0.3135 1
P1 0.0000 0.0000 0.3994 1
```